The following is a DFT calculation (PBE+U) of a relaxed structure of VGaO2.

a = 3.0061 Å, b = 3.0061 Å, c = 19.0679 Å
α = 90.00°, β = 90.00°, γ = 120.00°
Closest atoms and distances in Å follow each position.
Space group R-3m (No. 166, hexagonal axes)
Unique sites:
V: 0.0000 0.0000 0.0000 [3 per cell]  6 O 2.05
Ga: 0.0000 0.0000 0.5000 [3 per cell]  2 O 2.09
O: 0.0000 0.0000 0.3903 [6 per cell]  3 V 2.05, 1 Ga 2.09

Properties
The crystal system is trigonal. Its total energy is -6.66 eV per atom. The density of states at the Fermi level is 0.541 states/eV/f.u.